Compound: AcHfB12
Source: Alexandria
Functional: PBE
Structure: optimized geometry

Properties
Energy relative to the elements   -0.22 eV per atom
ρ   6.4 g/cm³
Final energy   -6.944 eV/atom

CIF file:
```
data_AcHfB12
_symmetry_space_group_name_H-M 'P 4/m m m'
_symmetry_Int_Tables_number 123
_symmetry_space_group_name_Hall '-P 4 2'
_cell_length_a 4.128
_cell_length_b 4.128
_cell_length_c 8.210
_cell_angle_alpha 90.00
_cell_angle_beta 90.00
_cell_angle_gamma 90.00
loop_
_atom_site_label
_atom_site_type_symbol
_atom_site_fract_x
_atom_site_fract_y
_atom_site_fract_z
Ac1 Ac 0.000 0.000 0.000
Hf1 Hf 0.000 0.000 0.500
B1 B 0.198 0.500 0.257
B2 B 0.500 0.500 0.103
B3 B 0.500 0.500 0.404
```